# NaAlMo2Os

A relaxed NaAlMo2Os crystal (PBE, Alexandria via LeMat-Bulk).

Cell lengths 4.664, 4.664, 4.516 Å; angles 90.00, 90.00, 90.00 degrees
Space group P4/mmm (No. 123)
Unique sites:
Na 0.000 0.000 0.000
Al 0.500 0.500 0.500
Mo 0.000 0.500 0.500
Os 0.500 0.500 0.000

## Properties
Energy relative to the elements ... 1674.7 meV/atom
Energy ... -5.916 eV/atom
Total magnetization ... 1.016 μB/f.u.
Density of states at the Fermi level ... 1.35 states/eV per atom